GGA-PBE EuErTm2, optimized geometry; E_tot = -5.776 eV per atom; E above lowest polymorph = 98.3 meV per atom
1.0
5.673 0.000 0.000
2.836 4.913 0.000
2.836 1.638 4.632
Eu Tm Er
1 2 1
Cartesian
0.000 0.000 0.000
2.836 1.638 1.158
8.509 4.913 3.474
5.673 3.275 2.316